Ac3Ga2FeO9 | GGA+U | relaxed

Cell and atoms, written as POSCAR:
```
Ac3Ga2FeO9
1.0
5.641 0.000 0.000
-2.820 4.885 0.000
0.000 0.000 6.909
O Fe Ac Ga
9 1 3 2
Cartesian
0.000 1.638 2.293 O
1.402 4.066 2.293 O
-1.410 2.443 0.000 O
1.410 2.443 0.000 O
2.820 3.247 4.616 O
4.223 0.819 4.616 O
1.418 0.819 4.616 O
2.820 0.000 0.000 O
-1.402 4.066 2.293 O
0.000 0.000 3.454 Fe
0.000 3.257 4.614 Ac
0.000 0.000 0.000 Ac
2.820 1.628 2.295 Ac
0.000 3.257 1.150 Ga
2.820 1.628 5.759 Ga
```

Calculated values
DOS at the Fermi energy, states/eV/cell: 0.0
Crystal system: trigonal
Space group: P-3m1 (164)
Magnetic moment, Bohr magnetons per cell: 5.00
Total energy, eV/atom: -7.175